1.
The following is a DFT calculation (GGA-PBE) of an optimized crystal structure of BaMg2As.

Lattice parameters (Å, degrees): 8.8790 8.8790 6.5129 90.00 90.00 90.00
Space group I-42d (No. 122)
Asymmetric unit:
1 Ba 0.0000 0.0000 0.0000 (multiplicity 4)
2 Mg 0.1625 0.7500 0.6250 (multiplicity 8)
3 As 0.0000 0.0000 0.5000 (multiplicity 4)

***

2.
The following is a DFT calculation (GGA-PBE) of an optimized crystal structure of KTiHgSb2.

- E_form (uncorrected): -0.23 eV per atom

Lattice parameters (Å, degrees): 5.2983 5.2983 5.5995 90.00 90.00 90.00
Space group P4/mmm (No. 123)
Asymmetric unit:
1 K 0.0000 0.0000 0.0000 (multiplicity 1)
2 Ti 0.5000 0.5000 0.5000 (multiplicity 1)
3 Hg 0.5000 0.5000 0.0000 (multiplicity 1)
4 Sb 0.0000 0.5000 0.5000 (multiplicity 2)

***

3.
The following is a DFT calculation (GGA-PBE) of an optimized crystal structure of LiCl3.

- E_form (uncorrected): -0.65 eV per atom
- Distance to the lowest polymorph of the same formula: 0.215 eV per atom

Lattice parameters (Å, degrees): 4.6789 5.2016 6.6268 90.00 90.00 90.00
Space group Pmmm (No. 47)
Asymmetric unit:
1 Li 0.0000 0.0000 0.0000 (multiplicity 1)
2 Cl 0.2118 0.5000 0.5000 (multiplicity 2)
3 Cl 0.5000 0.0000 0.0000 (multiplicity 1)

***

4.
The following is a DFT calculation (GGA-PBE) of an optimized crystal structure of Pm2NdTm5.

- Distance to the lowest polymorph of the same formula: 0.000 eV per atom

Lattice parameters (Å, degrees): 7.1317 7.1317 9.9333 90.00 90.00 90.00
Space group I4/mmm (No. 139)
Asymmetric unit:
1 Pm 0.0000 0.5000 0.0000 (multiplicity 4)
2 Nd 0.0000 0.0000 0.0000 (multiplicity 2)
3 Tm 0.0000 0.0000 0.5000 (multiplicity 2)
4 Tm 0.2500 0.2500 0.2500 (multiplicity 8)

***

Per-record electronic total energy, Ha/atom: -0.101 -0.137 -0.092 -0.167
Per-record total magnetic moment, μB/f.u.: 0.0 0.1 0.1 0.0